Entry 1:
A relaxed MnCuBr2 crystal. Source: the Alexandria database, functional PBE.

relative energy among the computed polymorphs: 364 meV/atom

a = 3.407 Å, b = 3.408 Å, c = 6.695 Å
α = 90.00°, β = 90.00°, γ = 90.00°
Fractional positions:
Cu 0.500 0.500 0.250
Br 0.000 0.000 0.995
Br 0.000 0.000 0.505
Mn 0.500 0.500 0.750


Entry 2:
A relaxed MnCu3Br crystal. Source: the Alexandria database, functional PBE.

relative energy among the computed polymorphs: 0 meV/atom

a = 4.691 Å, b = 4.691 Å, c = 4.691 Å
α = 90.00°, β = 90.00°, γ = 90.00°
Fractional positions:
Br 0.500 0.500 0.500
Cu 0.000 0.000 0.500
Cu 0.500 0.000 0.000
Cu 0.000 0.500 0.000
Mn 0.000 0.000 0.000


Entry 3:
A relaxed MnCuBr2 crystal. Source: the Alexandria database, functional PBE.

relative energy among the computed polymorphs: 77 meV/atom

a = 7.865 Å, b = 7.865 Å, c = 7.865 Å
α = 153.82°, β = 152.69°, γ = 38.19°
Fractional positions:
Cu 0.445 0.445 0.000
Br 0.983 0.983 0.000
Br 0.748 0.248 0.500
Mn 0.324 0.824 0.500


Entry 4:
A relaxed Mn2CuBr6 crystal. Source: the Alexandria database, functional PBE.

a = 6.807 Å, b = 10.299 Å, c = 10.299 Å
α = 94.94°, β = 70.87°, γ = 70.87°
Fractional positions:
Br 0.764 0.178 0.330
Br 0.264 0.330 0.178
Br 0.103 0.256 0.567
Br 0.897 0.744 0.433
Br 0.428 0.936 0.236
Br 0.236 0.822 0.670
Br 0.603 0.567 0.256
Br 0.397 0.433 0.744
Br 0.928 0.236 0.936
Br 0.736 0.670 0.822
Br 0.072 0.764 0.064
Br 0.572 0.064 0.764
Mn 0.602 0.828 0.670
Mn 0.398 0.172 0.330
Mn 0.102 0.670 0.828
Mn 0.898 0.330 0.172
Cu 0.250 0.248 0.752
Cu 0.750 0.752 0.248


Entry 5:
A relaxed MnCu2Br crystal. Source: the Alexandria database, functional PBE.

relative energy among the computed polymorphs: 0 meV/atom

a = 3.214 Å, b = 3.275 Å, c = 6.669 Å
α = 89.77°, β = 90.00°, γ = 90.00°
Fractional positions:
Br 0.500 0.750 0.746
Mn 0.000 0.749 0.440
Cu 0.500 0.250 0.246
Cu 0.000 0.751 0.068


Entry 6:
A relaxed MnCu2Br crystal. Source: the Alexandria database, functional PBE.

relative energy among the computed polymorphs: 76 meV/atom

a = 3.357 Å, b = 3.353 Å, c = 6.292 Å
α = 90.76°, β = 90.00°, γ = 90.00°
Fractional positions:
Cu 0.000 0.756 0.440
Cu 0.000 0.744 0.060
Br 0.500 0.750 0.750
Mn 0.500 0.250 0.250


Entry 7:
A relaxed MnCu2Br crystal. Source: the Alexandria database, functional PBE.

relative energy among the computed polymorphs: 475 meV/atom

a = 4.516 Å, b = 4.516 Å, c = 4.516 Å
α = 60.00°, β = 60.00°, γ = 60.00°
Fractional positions:
Mn 0.000 0.000 0.000
Cu 0.250 0.250 0.250
Cu 0.750 0.750 0.750
Br 0.500 0.500 0.500


Entry 8:
A relaxed MnCu2Br crystal. Source: the Alexandria database, functional PBE.

relative energy among the computed polymorphs: 61 meV/atom

a = 3.230 Å, b = 3.230 Å, c = 6.596 Å
α = 90.00°, β = 90.00°, γ = 90.00°
Fractional positions:
Br 0.500 0.500 0.711
Cu 0.000 0.000 0.085
Cu 0.500 0.500 0.241
Mn 0.000 0.000 0.463


Entry 9:
A relaxed MnCuBr2 crystal. Source: the Alexandria database, functional PBE.

relative energy among the computed polymorphs: 267 meV/atom

a = 6.358 Å, b = 6.358 Å, c = 3.600 Å
α = 55.91°, β = 55.91°, γ = 71.71°
Fractional positions:
Br 0.500 0.500 0.000
Br 0.000 0.000 0.000
Cu 0.500 0.000 0.500
Mn 0.000 0.500 0.500


Entry 10:
A relaxed MnCu2Br crystal. Source: the Alexandria database, functional PBE.

relative energy among the computed polymorphs: 374 meV/atom

a = 4.475 Å, b = 4.475 Å, c = 4.475 Å
α = 60.00°, β = 60.00°, γ = 60.00°
Fractional positions:
Cu 0.750 0.750 0.750
Cu 0.000 0.000 0.000
Mn 0.250 0.250 0.250
Br 0.500 0.500 0.500


Entry 11:
A relaxed MnCuBr4 crystal. Source: the Alexandria database, functional PBE.

a = 6.235 Å, b = 6.235 Å, c = 6.235 Å
α = 60.00°, β = 60.00°, γ = 60.00°
Fractional positions:
Br 0.876 0.375 0.375
Br 0.375 0.375 0.876
Br 0.375 0.375 0.375
Br 0.375 0.876 0.375
Mn 0.000 0.000 0.000
Cu 0.750 0.750 0.750


Entry 12:
A relaxed MnCu2Br crystal. Source: the Alexandria database, functional PBE.

relative energy among the computed polymorphs: 177 meV/atom

a = 7.564 Å, b = 7.564 Å, c = 7.564 Å
α = 25.15°, β = 25.15°, γ = 25.15°
Fractional positions:
Mn 0.250 0.250 0.250
Br 0.750 0.750 0.750
Cu 0.504 0.504 0.504
Cu 0.996 0.996 0.996


Entry 13:
A relaxed MnCuBr2 crystal. Source: the Alexandria database, functional PBE.

relative energy among the computed polymorphs: 165 meV/atom

a = 5.965 Å, b = 5.965 Å, c = 7.046 Å
α = 64.95°, β = 64.95°, γ = 90.00°
Fractional positions:
Br 0.636 0.125 0.250
Br 0.875 0.886 0.750
Br 0.375 0.364 0.750
Br 0.114 0.625 0.250
Cu 0.000 0.000 0.000
Cu 0.750 0.250 0.500
Mn 0.500 0.500 0.000
Mn 0.250 0.750 0.500


Entry 14:
A relaxed MnCuBr2 crystal. Source: the Alexandria database, functional PBE.

relative energy among the computed polymorphs: 106 meV/atom

a = 3.438 Å, b = 3.438 Å, c = 7.632 Å
α = 90.00°, β = 90.00°, γ = 90.00°
Fractional positions:
Cu 0.000 0.000 0.528
Br 0.000 0.000 0.907
Br 0.500 0.500 0.366
Mn 0.500 0.500 0.700


Entry 15:
A relaxed MnCuBr2 crystal. Source: the Alexandria database, functional PBE.

relative energy among the computed polymorphs: 289 meV/atom

a = 3.806 Å, b = 3.806 Å, c = 7.644 Å
α = 90.00°, β = 90.00°, γ = 123.07°
Fractional positions:
Br 0.000 0.000 0.011
Br 0.000 0.000 0.489
Mn 0.500 0.500 0.750
Cu 0.500 0.500 0.250


Entry 16:
A relaxed MnCuBr crystal. Source: the Alexandria database, functional PBE.

relative energy among the computed polymorphs: 84 meV/atom

a = 6.443 Å, b = 6.443 Å, c = 6.443 Å
α = 151.17°, β = 151.17°, γ = 41.23°
Fractional positions:
Br 0.963 0.963 0.000
Cu 0.711 0.711 0.000
Mn 0.326 0.326 0.000


Entry 17:
A relaxed MnCu2Br crystal. Source: the Alexandria database, functional PBE.

relative energy among the computed polymorphs: 333 meV/atom

a = 4.960 Å, b = 4.960 Å, c = 4.960 Å
α = 133.51°, β = 133.51°, γ = 67.86°
Fractional positions:
Cu 0.250 0.750 0.500
Cu 0.000 0.000 0.000
Mn 0.500 0.500 0.000
Br 0.750 0.250 0.500


Entry 18:
A relaxed MnCu2Br crystal. Source: the Alexandria database, functional PBE.

relative energy among the computed polymorphs: 143 meV/atom

a = 3.313 Å, b = 3.311 Å, c = 5.986 Å
α = 90.00°, β = 90.00°, γ = 90.00°
Fractional positions:
Mn 0.500 0.500 0.250
Cu 0.000 0.000 0.045
Cu 0.000 0.000 0.455
Br 0.500 0.500 0.750


Entry 19:
A relaxed MnCu3Br crystal. Source: the Alexandria database, functional PBE.

relative energy among the computed polymorphs: 129 meV/atom

a = 4.685 Å, b = 4.685 Å, c = 4.685 Å
α = 90.00°, β = 90.00°, γ = 90.00°
Fractional positions:
Cu 0.000 0.000 0.500
Cu 0.500 0.000 0.000
Cu 0.000 0.500 0.000
Mn 0.500 0.500 0.500
Br 0.000 0.000 0.000


Entry 20:
A relaxed MnCuBr2 crystal. Source: the Alexandria database, functional PBE.

relative energy among the computed polymorphs: 135 meV/atom

a = 3.717 Å, b = 3.717 Å, c = 8.350 Å
α = 102.75°, β = 102.75°, γ = 60.10°
Fractional positions:
Br 0.850 0.850 0.048
Br 0.650 0.650 0.452
Cu 0.750 0.750 0.750
Mn 0.250 0.250 0.250


Entry 21:
A relaxed MnCuBr2 crystal. Source: the Alexandria database, functional PBE.

relative energy among the computed polymorphs: 51 meV/atom

a = 3.663 Å, b = 3.663 Å, c = 8.258 Å
α = 90.00°, β = 90.00°, γ = 115.24°
Fractional positions:
Cu 0.000 0.000 0.520
Br 0.000 0.000 0.912
Br 0.500 0.500 0.355
Mn 0.500 0.500 0.713


Entry 22:
A relaxed MnCuBr crystal. Source: the Alexandria database, functional PBE.

relative energy among the computed polymorphs: 0 meV/atom

a = 3.457 Å, b = 3.457 Å, c = 5.703 Å
α = 90.00°, β = 90.00°, γ = 120.00°
Fractional positions:
Mn 0.333 0.667 0.653
Cu 0.667 0.333 0.372
Br 0.000 0.000 0.975


Entry 23:
A relaxed MnCuBr crystal. Source: the Alexandria database, functional PBE.

relative energy among the computed polymorphs: 97 meV/atom

a = 6.418 Å, b = 6.079 Å, c = 3.283 Å
α = 80.56°, β = 69.13°, γ = 30.31°
Fractional positions:
Cu 0.319 0.319 0.681
Mn 0.674 0.674 0.326
Br 0.007 0.007 0.993


Entry 24:
A relaxed MnCu2Br6 crystal. Source: the Alexandria database, functional PBE.

relative energy among the computed polymorphs: 8 meV/atom

a = 7.060 Å, b = 8.409 Å, c = 8.409 Å
α = 83.72°, β = 85.08°, γ = 85.08°
Fractional positions:
Br 0.870 0.536 0.714
Br 0.144 0.120 0.633
Br 0.121 0.815 0.957
Br 0.130 0.464 0.286
Br 0.370 0.714 0.536
Br 0.879 0.185 0.043
Br 0.621 0.957 0.815
Br 0.630 0.286 0.464
Br 0.644 0.633 0.120
Br 0.856 0.880 0.367
Br 0.356 0.367 0.880
Br 0.379 0.043 0.185
Cu 0.323 0.242 0.395
Cu 0.677 0.758 0.605
Cu 0.177 0.605 0.758
Cu 0.823 0.395 0.242
Mn 0.250 0.093 0.907
Mn 0.750 0.907 0.093


Entry 25:
A relaxed MnCuBr2 crystal. Source: the Alexandria database, functional PBE.

relative energy among the computed polymorphs: 395 meV/atom

a = 4.829 Å, b = 4.829 Å, c = 4.829 Å
α = 60.00°, β = 60.00°, γ = 60.00°
Fractional positions:
Mn 0.000 0.000 0.000
Br 0.750 0.750 0.750
Br 0.250 0.250 0.250
Cu 0.500 0.500 0.500


Entry 26:
A relaxed MnCuBr4 crystal. Source: the Alexandria database, functional PBE.

a = 7.153 Å, b = 7.153 Å, c = 8.905 Å
α = 90.00°, β = 90.00°, γ = 90.00°
Fractional positions:
Br 0.751 0.760 0.500
Br 0.240 0.249 0.000
Br 0.751 0.240 0.500
Br 0.249 0.240 0.500
Br 0.760 0.751 0.000
Br 0.240 0.751 0.000
Br 0.249 0.760 0.500
Br 0.760 0.249 0.000
Cu 0.000 0.000 0.500
Cu 0.000 0.000 0.000
Mn 0.000 0.500 0.000
Mn 0.500 0.000 0.500


Entry 27:
A relaxed MnCuBr2 crystal. Source: the Alexandria database, functional PBE.

relative energy among the computed polymorphs: 0 meV/atom

a = 3.516 Å, b = 3.682 Å, c = 7.708 Å
α = 81.24°, β = 90.00°, γ = 90.00°
Fractional positions:
Br 0.500 0.202 0.366
Br 0.000 0.867 0.917
Cu 0.000 0.509 0.536
Mn 0.500 0.921 0.681


Entry 28:
A relaxed MnCuBr crystal. Source: the Alexandria database, functional PBE.

relative energy among the computed polymorphs: 295 meV/atom

a = 4.422 Å, b = 4.422 Å, c = 4.422 Å
α = 60.00°, β = 60.00°, γ = 60.00°
Fractional positions:
Cu 0.500 0.500 0.500
Br 0.000 0.000 0.000
Mn 0.750 0.750 0.750


| no. | electronic total energy (eV per atom) |
| --- | --- |
| 1 | -3.94 |
| 2 | -3.60 |
| 3 | -4.22 |
| 4 | -4.21 |
| 5 | -4.58 |
| 6 | -4.51 |
| 7 | -4.11 |
| 8 | -4.52 |
| 9 | -4.03 |
| 10 | -4.21 |
| 11 | -2.36 |
| 12 | -4.41 |
| 13 | -4.13 |
| 14 | -4.19 |
| 15 | -4.01 |
| 16 | -4.68 |
| 17 | -4.25 |
| 18 | -4.44 |
| 19 | -3.47 |
| 20 | -4.17 |
| 21 | -4.25 |
| 22 | -4.77 |
| 23 | -4.67 |
| 24 | -3.46 |
| 25 | -3.90 |
| 26 | -3.78 |
| 27 | -4.30 |
| 28 | -4.47 |